(1)
## Al4IrSe (PBE-GGA)

Data for crystalline Al4IrSe at its relaxed geometry.

a b c (Å): 5.181 5.181 5.181
angles (deg): 60.00 60.00 60.00
Sites, in units of the cell vectors:
Al 0.874 0.375 0.375
Al 0.375 0.375 0.874
Al 0.375 0.375 0.375
Al 0.375 0.874 0.375
Ir 0.750 0.750 0.750
Se 0.000 0.000 0.000

Output
D(E_F) in states/eV per atom: 0.693
Final energy in eV/atom: -4.283
Total magnetic moment in μB/atom: 0.0000
Space group: F-43m, No. 216
Density in g/cm³: 6.40
E_form (uncorrected) in eV per atom: 0.269

***

(2)
## KTe3Ru (PBE-GGA)

Data for crystalline KTe3Ru at its relaxed geometry.

a b c (Å): 5.889 5.889 5.889
angles (deg): 90.00 90.00 90.00
Sites, in units of the cell vectors:
Te 0.000 0.000 0.500
Te 0.500 0.000 0.000
Te 0.000 0.500 0.000
K 0.000 0.000 0.000
Ru 0.500 0.500 0.500

Output
D(E_F) in states/eV per atom: 3.780
Final energy in eV/atom: -2.267
Total magnetic moment in μB/atom: 0.5792
Space group: Pm-3m, No. 221
Density in g/cm³: 4.25
E_form (uncorrected) in eV per atom: 1.692

***

(3)
## Hf6Si7Ni16 (PBE-GGA)

Data for crystalline Hf6Si7Ni16 at its relaxed geometry.

a b c (Å): 8.075 8.075 8.075
angles (deg): 60.00 60.00 60.00
Sites, in units of the cell vectors:
Ni 0.168 0.168 0.496
Ni 0.168 0.496 0.168
Ni 0.382 0.382 0.382
Ni 0.854 0.382 0.382
Ni 0.382 0.854 0.382
Ni 0.618 0.618 0.146
Ni 0.382 0.382 0.854
Ni 0.504 0.832 0.832
Ni 0.146 0.618 0.618
Ni 0.618 0.146 0.618
Ni 0.832 0.832 0.504
Ni 0.832 0.832 0.832
Ni 0.832 0.504 0.832
Ni 0.496 0.168 0.168
Ni 0.168 0.168 0.168
Ni 0.618 0.618 0.618
Hf 0.794 0.206 0.794
Hf 0.794 0.794 0.206
Hf 0.206 0.206 0.794
Hf 0.206 0.794 0.794
Hf 0.794 0.206 0.206
Hf 0.206 0.794 0.206
Si 0.500 0.000 0.500
Si 0.500 0.000 0.000
Si 0.500 0.500 0.500
Si 0.500 0.500 0.000
Si 0.000 0.500 0.000
Si 0.000 0.000 0.500
Si 0.000 0.500 0.500

Output
D(E_F) in states/eV per atom: 0.716
Final energy in eV/atom: -7.335
Total magnetic moment in μB/atom: 0.0000
Space group: Fm-3m, No. 225
Density in g/cm³: 9.84
E_form (uncorrected) in eV per atom: -0.777

***

(4)
## MgTa2Be (PBE-GGA)

Data for crystalline MgTa2Be at its relaxed geometry.

a b c (Å): 2.832 2.832 8.153
angles (deg): 90.00 90.00 90.60
Sites, in units of the cell vectors:
Mg 0.500 0.500 0.710
Be 0.000 0.000 0.495
Ta 0.000 0.000 0.002
Ta 0.500 0.500 0.293

Output
D(E_F) in states/eV per atom: 0.689
Final energy in eV/atom: -7.069
Energy of formation in eV per atom: 0.19
Total magnetic moment in μB/atom: 0.0000
Space group: Cmm2, No. 35
Density in g/cm³: 10.03

***

(5)
## BaCuAu (PBE-GGA)

Data for crystalline BaCuAu at its relaxed geometry.

a b c (Å): 5.355 5.355 5.355
angles (deg): 60.00 60.00 60.00
Sites, in units of the cell vectors:
Au 0.500 0.500 0.500
Cu 0.000 0.000 0.000
Ba 0.750 0.750 0.750

Output
D(E_F) in states/eV per atom: 0.168
Final energy in eV/atom: -3.018
Energy of formation in eV per atom: 0.08
Total magnetic moment in μB/atom: 0.0000
Space group: F-43m, No. 216
Density in g/cm³: 6.08

***

(6)
## SrTaRe2 (PBE-GGA)

Data for crystalline SrTaRe2 at its relaxed geometry.

a b c (Å): 5.613 5.613 5.613
angles (deg): 147.59 125.89 64.50
Sites, in units of the cell vectors:
Re 0.021 0.021 0.000
Re 0.479 0.479 0.000
Ta 0.250 0.750 0.500
Sr 0.750 0.250 0.500

Output
D(E_F) in states/eV per atom: 1.065
Final energy in eV/atom: -8.649
Energy of formation in eV per atom: 0.96
Total magnetic moment in μB/atom: 0.0029
Space group: Immm, No. 71
Density in g/cm³: 14.02